(1)
Here is a relaxed structure of ScMn5C3 from Alexandria via LeMat-Bulk. Energies are from GGA-PBE.

Cell and atoms, written as CIF:
```
data_ScMn5C3
_symmetry_space_group_name_H-M 'C 1 2/m 1'
_symmetry_Int_Tables_number 12
_cell_length_a 9.2992
_cell_length_b 6.3388
_cell_length_c 7.6612
_cell_angle_alpha 90.00
_cell_angle_beta 117.78
_cell_angle_gamma 90.00
loop_
_symmetry_equiv_pos_as_xyz
'x,y,z'
'-x,-y,-z'
'-x,y,-z'
'x,-y,z'
'x+1/2,y+1/2,z'
'-x+1/2,-y+1/2,-z'
'-x+1/2,y+1/2,-z'
'x+1/2,-y+1/2,z'
loop_
_atom_site_label
_atom_site_type_symbol
_atom_site_fract_x
_atom_site_fract_y
_atom_site_fract_z
_atom_site_occupancy
Sc1 Sc 0.1163 0.0000 0.3168 1
Mn1 Mn 0.0000 0.3000 0.0000 1
Mn2 Mn 0.0735 0.5000 0.3627 1
Mn3 Mn 0.1572 0.1993 0.6763 1
Mn4 Mn 0.2343 0.0000 0.0283 1
C1 C 0.0000 0.0000 0.0000 1
C2 C 0.0000 0.0000 0.5000 1
C3 C 0.1436 0.5000 0.6715 1
C4 C 0.1699 0.5000 0.1681 1
```

Computed properties:
The calculated volume comes out at 11.1 A^3/atom.

(2)
Here is a relaxed structure of SrLaTl2 from Alexandria via LeMat-Bulk. Energies are from GGA-PBE.

Cell and atoms, written as CIF:
```
data_SrLaTl2
_symmetry_space_group_name_H-M 'I -4 m 2'
_symmetry_Int_Tables_number 119
_symmetry_space_group_name_Hall 'I -4 -2'
_cell_length_a 4.8116
_cell_length_b 4.8116
_cell_length_c 11.4105
_cell_angle_alpha 90.00
_cell_angle_beta 90.00
_cell_angle_gamma 90.00
loop_
_atom_site_label
_atom_site_type_symbol
_atom_site_fract_x
_atom_site_fract_y
_atom_site_fract_z
_atom_site_occupancy
Sr1 Sr 0.0000 0.0000 0.0000 1
La1 La 0.0000 0.5000 0.2500 1
Tl1 Tl 0.0000 0.0000 0.5000 1
Tl2 Tl 0.0000 0.5000 0.7500 1
```

Computed properties:
The calculated volume comes out at 33.0 A^3/atom.

In order of appearance, energy of formation from the pure elements = -0.06; -0.26 eV/atom.